1.
Below is an optimized crystal structure of Er2CdBr, with properties calculated at the PBE level.

Cell: 3.4688 3.4688 11.2180 Å, 81.11 81.11 60.00°
Positions (direct):
Cd: 0.0000 0.0000 0.0000
Er: 0.9048 0.9048 0.2857
Er: 0.0952 0.0952 0.7143
Br: 0.5000 0.5000 0.5000

* formation energy (no corrections): -0.2435 eV per atom
* space group: No. 166

---

2.
Below is an optimized crystal structure of Si2Ag, with properties calculated at the PBE level.

Cell: 6.4186 6.4186 3.4529 Å, 90.00 90.00 135.14°
Positions (direct):
Ag: 0.1017 0.8983 0.7500
Ag: 0.8983 0.1017 0.2500
Si: 0.2779 0.7221 0.2500
Si: 0.5727 0.4273 0.2500
Si: 0.7221 0.2779 0.7500
Si: 0.4273 0.5727 0.7500

* formation energy (no corrections): 0.4208 eV per atom
* space group: No. 63
* polymorph energy (0 for the lowest one): 0.1063 eV per atom

---

3.
Below is an optimized crystal structure of TbBe2Pd5Au, with properties calculated at the PBE level.

Cell: 4.3471 4.3471 7.5228 Å, 90.00 90.00 90.00°
Positions (direct):
Pd: 0.5000 0.0000 0.2368
Pd: 0.0000 0.5000 0.2368
Pd: 0.5000 0.0000 0.7632
Pd: 0.5000 0.5000 0.5000
Pd: 0.0000 0.5000 0.7632
Be: 0.5000 0.5000 0.8353
Be: 0.5000 0.5000 0.1647
Tb: 0.0000 0.0000 0.5000
Au: 0.0000 0.0000 0.0000

* space group: No. 123

---

4.
Below is an optimized crystal structure of Er2ScAl6, with properties calculated at the PBE level.

Cell: 3.3495 7.8404 7.8404 Å, 120.00 90.00 90.00°
Positions (direct):
Al: 0.5000 0.6694 0.0000
Al: 0.5000 0.6694 0.6694
Al: 0.5000 0.3306 0.0000
Al: 0.5000 0.3306 0.3306
Al: 0.5000 0.0000 0.6694
Al: 0.5000 0.0000 0.3306
Er: 0.0000 0.3333 0.6667
Er: 0.0000 0.6667 0.3333
Sc: 0.0000 0.0000 0.0000

* space group: No. 191

---

5.
Below is an optimized crystal structure of NiAg2SnH, with properties calculated at the PBE level.

Cell: 3.9354 4.9148 3.9354 Å, 90.00 90.00 90.00°
Positions (direct):
Ag: 0.0000 0.0000 0.5000
Ag: 0.5000 0.0000 0.0000
Ni: 0.5000 0.5000 0.5000
Sn: 0.0000 0.5000 0.0000
H: 0.0000 0.0000 0.0000

* space group: No. 123

---

6.
Below is an optimized crystal structure of InCoAs2, with properties calculated at the PBE level.

Cell: 6.1224 6.1224 6.1224 Å, 152.16 136.46 52.48°
Positions (direct):
Co: 0.7500 0.2500 0.5000
In: 0.2500 0.7500 0.5000
As: 0.9284 0.9284 0.0000
As: 0.5716 0.5716 0.0000

* space group: No. 71

---

7.
Below is an optimized crystal structure of Ho2Mn2C3, with properties calculated at the PBE level.

Cell: 3.3772 5.4860 5.3463 Å, 104.41 108.41 90.00°
Positions (direct):
C: 0.0000 0.5000 0.0000
C: 0.2897 0.7272 0.5793
C: 0.7103 0.2728 0.4207
Ho: 0.3941 0.1843 0.7883
Ho: 0.6059 0.8157 0.2117
Mn: 0.8429 0.6075 0.6859
Mn: 0.1571 0.3925 0.3141

* space group: No. 12
* polymorph energy (0 for the lowest one): 0.0000 eV per atom

---

8.
Below is an optimized crystal structure of PmThCdSi, with properties calculated at the PBE level.

Cell: 5.2642 5.2642 5.2642 Å, 60.00 60.00 60.00°
Positions (direct):
Cd: 0.0000 0.0000 0.0000
Si: 0.5000 0.5000 0.5000
Th: 0.7500 0.7500 0.7500
Pm: 0.2500 0.2500 0.2500

* formation energy (no corrections): -0.2652 eV per atom
* space group: No. 216

---

9.
Below is an optimized crystal structure of DyUMn, with properties calculated at the PBE level.

Cell: 5.5473 7.1601 6.3959 Å, 97.21 90.00 90.00°
Positions (direct):
Dy: 0.9504 0.6035 0.2724
Dy: 0.4504 0.3965 0.2276
Dy: 0.0496 0.3965 0.7276
Dy: 0.5496 0.6035 0.7724
Mn: 0.9128 0.1657 0.0468
Mn: 0.5872 0.1657 0.5468
Mn: 0.0872 0.8343 0.9532
Mn: 0.4128 0.8343 0.4532
U: 0.0600 0.0863 0.3317
U: 0.9400 0.9137 0.6683
U: 0.5600 0.9137 0.1683
U: 0.4400 0.0863 0.8317

* space group: No. 14

---

10.
Below is an optimized crystal structure of LiPa2In2Se6, with properties calculated at the PBE level.

Cell: 7.1985 7.1985 7.9981 Å, 97.72 97.72 120.95°
Last column: magnetic moment on the atom in μB.
Positions (direct):
Se: 0.4222 0.0610 0.7116  -0.02
Se: 0.7289 0.7289 0.6940  -0.02
Se: 0.0610 0.4222 0.7116  -0.02
Se: 0.5778 0.9390 0.2884  -0.02
Se: 0.9390 0.5778 0.2884  -0.02
Se: 0.2711 0.2711 0.3060  -0.02
In: 0.8422 0.1578 0.0000  0.00
In: 0.1578 0.8422 0.0000  0.00
Pa: 0.3354 0.6646 0.5000  0.55
Pa: 0.6646 0.3354 0.5000  0.55
Li: 0.0000 0.0000 0.5000  0.00

* formation energy (no corrections): -1.0623 eV per atom
* space group: No. 12

---

11.
Below is an optimized crystal structure of PrGdThHg, with properties calculated at the PBE level.

Cell: 5.5292 5.5292 5.5292 Å, 60.00 60.00 60.00°
Last column: magnetic moment on the atom in μB.
Positions (direct):
Hg: 0.5000 0.5000 0.5000  -0.01
Th: 0.0000 0.0000 0.0000  0.27
Pr: 0.7500 0.7500 0.7500  0.04
Gd: 0.2500 0.2500 0.2500  7.20

* space group: No. 216

---

12.
Below is an optimized crystal structure of Nd2ZnHg5, with properties calculated at the PBE level.

Cell: 4.6878 4.6878 11.6819 Å, 78.51 78.51 59.92°
Positions (direct):
Hg: 0.1992 0.1992 0.4025
Hg: 0.6348 0.6348 0.0960
Hg: 0.3652 0.3652 0.9040
Hg: 0.5000 0.5000 0.5000
Hg: 0.8008 0.8008 0.5975
Nd: 0.9103 0.9103 0.2692
Nd: 0.0897 0.0897 0.7308
Zn: 0.0000 0.0000 0.0000

* space group: No. 12

---

13.
Below is an optimized crystal structure of CsGaSe2, with properties calculated at the PBE level.

Cell: 7.6888 8.3666 6.3411 Å, 118.44 72.78 123.79°
Positions (direct):
Se: 0.9529 0.3433 0.4126
Se: 0.3535 0.4531 0.8455
Se: 0.8540 0.9456 0.6899
Se: 0.2545 0.0554 0.1227
Ga: 0.0984 0.1942 0.0161
Ga: 0.1090 0.2044 0.5193
Cs: 0.8026 0.5051 0.0677
Cs: 0.4048 0.8935 0.4675

* formation energy (no corrections): -0.9953 eV per atom
* space group: No. 2

---

14.
Below is an optimized crystal structure of PrAgPbBr6, with properties calculated at the PBE level.

Cell: 7.3274 7.3274 13.6099 Å, 90.00 90.00 120.00°
Positions (direct):
Br: 0.0031 0.3476 0.1271
Br: 0.0031 0.6555 0.3729
Br: 0.9969 0.6524 0.8729
Br: 0.3445 0.3476 0.3729
Br: 0.6555 0.6524 0.6271
Br: 0.6524 0.9969 0.3729
Br: 0.6555 0.0031 0.8729
Br: 0.3476 0.0031 0.6271
Br: 0.3445 0.9969 0.1271
Br: 0.9969 0.3445 0.6271
Br: 0.6524 0.6555 0.1271
Br: 0.3476 0.3445 0.8729
Pb: 0.0000 0.0000 0.5000
Pb: 0.0000 0.0000 0.0000
Pr: 0.3333 0.6667 0.7500
Pr: 0.6667 0.3333 0.2500
Ag: 0.3333 0.6667 0.2500
Ag: 0.6667 0.3333 0.7500

* formation energy (no corrections): -1.1870 eV per atom
* space group: No. 163

---

15.
Below is an optimized crystal structure of CsHgAuCl6, with properties calculated at the PBE level.

Cell: 6.8783 6.8781 7.7376 Å, 90.00 90.00 60.00°
Last column: magnetic moment on the atom in μB.
Positions (direct):
Au: 0.3333 0.3334 0.5000  0.71
Cl: 0.3624 0.6172 0.3095  0.17
Cl: 0.6172 0.0204 0.3095  0.17
Cl: 0.0204 0.3624 0.3095  0.17
Cl: 0.0203 0.6172 0.6906  0.17
Cl: 0.6171 0.3625 0.6906  0.17
Cl: 0.3625 0.0204 0.6906  0.17
Hg: 0.6666 0.6667 0.5000  0.00
Cs: 0.0000 0.0000 0.9999  0.01

* formation energy (no corrections): -0.6872 eV per atom
* space group: No. 149

---

16.
Below is an optimized crystal structure of NaAlCd2Hg, with properties calculated at the PBE level.

Cell: 5.5182 5.5292 5.5182 Å, 90.00 90.00 90.00°
Positions (direct):
Hg: 0.5000 0.5000 0.5000
Cd: 0.0000 0.0000 0.5000
Cd: 0.5000 0.0000 0.0000
Na: 0.0000 0.0000 0.0000
Al: 0.0000 0.5000 0.0000

* space group: No. 123

---

17.
Below is an optimized crystal structure of Hf6Zn16Cu7, with properties calculated at the PBE level.

Cell: 8.5329 8.5329 8.5329 Å, 60.00 60.00 60.00°
Positions (direct):
Zn: 0.0014 0.6662 0.6662
Zn: 0.8804 0.3587 0.8804
Zn: 0.6662 0.6662 0.0014
Zn: 0.1196 0.1196 0.1196
Zn: 0.8804 0.8804 0.3587
Zn: 0.1196 0.1196 0.6413
Zn: 0.3338 0.3338 0.3338
Zn: 0.6662 0.0014 0.6662
Zn: 0.9986 0.3338 0.3338
Zn: 0.3338 0.3338 0.9986
Zn: 0.6662 0.6662 0.6662
Zn: 0.6413 0.1196 0.1196
Zn: 0.1196 0.6413 0.1196
Zn: 0.8804 0.8804 0.8804
Zn: 0.3587 0.8804 0.8804
Zn: 0.3338 0.9986 0.3338
Hf: 0.3073 0.3073 0.6927
Hf: 0.3073 0.6927 0.3073
Hf: 0.3073 0.6927 0.6927
Hf: 0.6927 0.3073 0.3073
Hf: 0.6927 0.6927 0.3073
Hf: 0.6927 0.3073 0.6927
Cu: 0.0000 0.5000 0.5000
Cu: 0.0000 0.5000 0.0000
Cu: 0.0000 0.0000 0.0000
Cu: 0.5000 0.5000 0.0000
Cu: 0.5000 0.0000 0.0000
Cu: 0.0000 0.0000 0.5000
Cu: 0.5000 0.0000 0.5000

* space group: No. 225

---

18.
Below is an optimized crystal structure of SrGd2Ag, with properties calculated at the PBE level.

Cell: 3.7330 3.7330 11.7065 Å, 80.83 80.83 60.00°
Last column: magnetic moment on the atom in μB.
Positions (direct):
Gd: 0.8967 0.8967 0.3099  7.25
Gd: 0.1033 0.1033 0.6901  7.25
Sr: 0.0000 0.0000 0.0000  -0.01
Ag: 0.5000 0.5000 0.5000  0.06

* space group: No. 166
* polymorph energy (0 for the lowest one): 0.2280 eV per atom

---

19.
Below is an optimized crystal structure of NaLa2Al2, with properties calculated at the PBE level.

Cell: 9.0302 9.0302 3.5851 Å, 90.00 90.00 90.00°
Positions (direct):
Na: 0.5000 0.5000 0.0000
Na: 0.0000 0.0000 0.0000
La: 0.8195 0.3195 0.5000
La: 0.6805 0.8195 0.5000
La: 0.1805 0.6805 0.5000
La: 0.3195 0.1805 0.5000
Al: 0.1076 0.3924 0.0000
Al: 0.8924 0.6076 0.0000
Al: 0.3924 0.8924 0.0000
Al: 0.6076 0.1076 0.0000

* space group: No. 127
* polymorph energy (0 for the lowest one): 0.0000 eV per atom

---

20.
Below is an optimized crystal structure of HgOsRh, with properties calculated at the PBE level.

Cell: 4.0868 3.9872 6.4494 Å, 90.00 108.91 90.00°
Positions (direct):
Hg: 0.2466 0.7500 0.9939
Hg: 0.7534 0.2500 0.0061
Os: 0.4366 0.2500 0.3765
Os: 0.5634 0.7500 0.6235
Rh: 0.9254 0.7500 0.3554
Rh: 0.0746 0.2500 0.6446

* space group: No. 11
* polymorph energy (0 for the lowest one): 0.0525 eV per atom

---

| no. | final energy (eV per atom) | magnetization (μB per atom) |
| --- | --- | --- |
| 1 | -3.1719 | 0.000 |
| 2 | -4.1449 | 0.000 |
| 3 | -5.0514 | 0.000 |
| 4 | -4.6845 | 0.000 |
| 5 | -3.4782 | 0.000 |
| 6 | -4.7356 | 0.000 |
| 7 | -8.2127 | 0.000 |
| 8 | -4.8923 | 0.000 |
| 9 | -8.1962 | 0.000 |
| 10 | -5.3614 | 0.097 |
| 11 | -6.6017 | 1.987 |
| 12 | -1.7469 | 0.000 |
| 13 | -3.7076 | 0.000 |
| 14 | -3.5621 | 0.000 |
| 15 | -2.4108 | 0.226 |
| 16 | -0.8203 | 0.000 |
| 17 | -3.9449 | 0.000 |
| 18 | -7.9715 | 3.862 |
| 19 | -3.9047 | 0.000 |
| 20 | -5.9378 | 0.000 |